# 1
! PuPd4Pt (PBE, relaxed); values from VASP
&SYSTEM
  ibrav = 0, nat = 12, ntyp = 3
/
ATOMIC_SPECIES
Pu 244.00 Pu.upf
Pd 106.42 Pd.upf
Pt 195.08 Pt.upf
CELL_PARAMETERS angstrom
2.792 -8.028 0.000
2.792 8.028 0.000
-2.773 0.000 4.722
ATOMIC_POSITIONS crystal
Pu 0.125 0.875 0.750
Pu 0.875 0.125 0.250
Pd 0.037 0.470 0.760
Pd 0.224 0.291 0.761
Pd 0.291 0.224 0.261
Pd 0.470 0.037 0.260
Pd 0.530 0.963 0.740
Pd 0.709 0.776 0.739
Pd 0.776 0.709 0.239
Pd 0.963 0.530 0.240
Pt 0.375 0.625 0.250
Pt 0.625 0.375 0.750
! ΔE_f ... -0.32 eV/atom
! Symmetry ... C2/c
! Energy ... -86.16 eV per cell
! N(E_F) ... 25.57 states/eV/cell
! ΔE to the lowest computed polymorph ... 76 meV/atom
! V ... 212 Å³/cell
! Crystal system ... monoclinic

---

# 2
! BaScSb (PBE, relaxed); values from VASP
&SYSTEM
  ibrav = 0, nat = 6, ntyp = 3
/
ATOMIC_SPECIES
Ba 137.33 Ba.upf
Sc 44.96 Sc.upf
Sb 121.76 Sb.upf
CELL_PARAMETERS angstrom
4.030 0.000 0.000
0.000 4.030 0.000
0.000 0.000 12.646
ATOMIC_POSITIONS crystal
Ba 0.000 0.000 0.000
Ba 0.500 0.500 0.500
Sc 0.000 0.000 0.727
Sc 0.500 0.500 0.227
Sb 0.000 0.000 0.294
Sb 0.500 0.500 0.794
! Symmetry ... I4mm
! Energy relative to the elements, uncorrected ... -50.2 kJ/mol of atoms
! Energy ... -27.88 eV per cell
! N(E_F) ... 7.34 states/eV/cell
! ΔE to the lowest computed polymorph ... 275 meV/atom
! V ... 205 Å³/cell
! Crystal system ... tetragonal

---

# 3
! HfTaSi3 (PBE, relaxed); values from VASP
&SYSTEM
  ibrav = 0, nat = 5, ntyp = 3
/
ATOMIC_SPECIES
Hf 178.49 Hf.upf
Ta 180.95 Ta.upf
Si 28.09 Si.upf
CELL_PARAMETERS angstrom
4.799 0.000 0.000
0.000 4.799 0.000
0.000 0.000 4.799
ATOMIC_POSITIONS crystal
Hf 0.000 0.000 0.000
Ta 0.500 0.500 0.500
Si 0.000 0.000 0.500
Si 0.000 0.500 0.000
Si 0.500 0.000 0.000
! Symmetry ... Pm-3m
! Energy relative to the elements, uncorrected ... 135.3 kJ/mol of atoms
! Energy ... -31.06 eV per cell
! N(E_F) ... 5.19 states/eV/cell
! ΔE to the lowest computed polymorph ... 647 meV/atom
! V ... 111 Å³/cell
! Crystal system ... cubic

---

# 4
! CaScTl (PBE, relaxed); values from VASP
&SYSTEM
  ibrav = 0, nat = 12, ntyp = 3
/
ATOMIC_SPECIES
Ca 40.08 Ca.upf
Sc 44.96 Sc.upf
Tl 204.38 Tl.upf
CELL_PARAMETERS angstrom
16.243 0.000 0.000
0.000 5.320 0.000
-0.009 0.000 3.792
ATOMIC_POSITIONS crystal
Ca 0.000 0.000 0.000
Ca 0.189 0.000 0.503
Ca 0.500 0.500 0.000
Ca 0.689 0.500 0.503
Sc 0.010 0.500 0.501
Sc 0.327 0.500 0.496
Sc 0.510 0.000 0.501
Sc 0.827 0.000 0.496
Tl 0.157 0.500 0.003
Tl 0.362 0.000 0.000
Tl 0.657 0.000 0.003
Tl 0.862 0.500 0.000
! ΔE_f ... -0.15 eV/atom
! Symmetry ... Cm
! Energy ... -44.59 eV per cell
! N(E_F) ... 10.71 states/eV/cell
! ΔE to the lowest computed polymorph ... 137 meV/atom
! V ... 328 Å³/cell
! Crystal system ... monoclinic

---

# 5
! ReMoRuRh2 (PBE, relaxed); values from VASP
&SYSTEM
  ibrav = 0, nat = 5, ntyp = 4
/
ATOMIC_SPECIES
Re 186.21 Re.upf
Mo 95.94 Mo.upf
Ru 101.07 Ru.upf
Rh 102.91 Rh.upf
CELL_PARAMETERS angstrom
4.675 0.000 0.000
0.000 4.675 0.000
0.000 0.000 4.618
ATOMIC_POSITIONS crystal
Re 0.000 0.000 0.000
Mo 0.500 0.500 0.500
Ru 0.000 0.000 0.500
Rh 0.000 0.500 0.000
Rh 0.500 0.000 0.000
! ΔE_f ... 1.64 eV/atom
! Symmetry ... P4/mmm
! Energy ... -39.05 eV per cell
! N(E_F) ... 6.08 states/eV/cell
! V ... 101 Å³/cell
! Crystal system ... tetragonal

---

# 6
! TbHoAgRh (PBE, relaxed); values from VASP
&SYSTEM
  ibrav = 0, nat = 16, ntyp = 4
/
ATOMIC_SPECIES
Tb 158.93 Tb.upf
Ho 164.93 Ho.upf
Ag 107.87 Ag.upf
Rh 102.91 Rh.upf
CELL_PARAMETERS angstrom
7.052 0.000 0.000
0.000 7.052 0.000
0.000 0.000 7.052
ATOMIC_POSITIONS crystal
Tb 0.000 0.000 0.000
Tb 0.000 0.500 0.500
Tb 0.500 0.000 0.500
Tb 0.500 0.500 0.000
Ho 0.000 0.000 0.500
Ho 0.000 0.500 0.000
Ho 0.500 0.000 0.000
Ho 0.500 0.500 0.500
Ag 0.250 0.250 0.250
Ag 0.250 0.750 0.750
Ag 0.750 0.250 0.750
Ag 0.750 0.750 0.250
Rh 0.250 0.250 0.750
Rh 0.250 0.750 0.250
Rh 0.750 0.250 0.250
Rh 0.750 0.750 0.750
! ΔE_f ... -0.57 eV/atom
! Symmetry ... F-43m
! Energy ... -86.81 eV per cell
! N(E_F) ... 14.98 states/eV/cell
! ΔE to the lowest computed polymorph ... 21 meV/atom
! V ... 351 Å³/cell
! Crystal system ... cubic

---

# 7
! Y4Tm3Te8 (PBE, relaxed); values from VASP
&SYSTEM
  ibrav = 0, nat = 15, ntyp = 3
/
ATOMIC_SPECIES
Y 88.91 Y.upf
Tm 168.93 Tm.upf
Te 127.60 Te.upf
CELL_PARAMETERS angstrom
6.105 -6.108 0.000
6.105 6.108 0.000
-6.100 0.000 6.110
ATOMIC_POSITIONS crystal
Y 0.000 0.000 0.000
Y 0.000 0.000 0.500
Y 0.000 0.500 0.000
Y 0.500 0.000 0.000
Tm 0.000 0.500 0.500
Tm 0.500 0.000 0.500
Tm 0.500 0.500 0.000
Te 0.252 0.748 0.000
Te 0.257 0.743 0.500
Te 0.259 0.259 0.013
Te 0.259 0.259 0.504
Te 0.741 0.741 0.496
Te 0.741 0.741 0.987
Te 0.743 0.257 0.500
Te 0.748 0.252 0.000
! Symmetry ... C2/m
! Energy relative to the elements, uncorrected ... -129.2 kJ/mol of atoms
! Energy ... -84.50 eV per cell
! N(E_F) ... 6.90 states/eV/cell
! V ... 456 Å³/cell
! Crystal system ... monoclinic